1.
K2PrTiS4: relaxed, PBE-GGA.

Unit cell a=6.943 b=6.943 c=6.943 alpha=116.45 beta=116.45 gamma=96.26
Element x y z (fractional)
K  0.000  0.000  0.000
K  0.750  0.250  0.500
Pr  0.500  0.500  0.000
Ti  0.250  0.750  0.500
S  0.172  0.087  0.549
S  0.377  0.828  0.915
S  0.538  0.623  0.451
S  0.913  0.462  0.085

Output
The value obtained for the density of states at the Fermi level is 2.937 states/eV per cell. The uncorrected formation energy is -1.390 eV per atom. The magnetic moment is 0.13 μB/atom. The electronic total energy is -5.312 eV per atom.

2.
K2PrTlS4: relaxed, PBE-GGA.

Unit cell a=8.518 b=8.518 c=8.400 alpha=118.61 beta=118.61 gamma=92.12
Element x y z (fractional)
K  0.000  0.000  0.000
K  0.000  0.000  0.500
K  0.000  0.500  0.000
K  0.500  0.000  0.500
Pr  0.000  0.500  0.500
Pr  0.500  0.000  0.000
Tl  0.500  0.500  0.000
Tl  0.500  0.500  0.500
S  0.253  0.739  0.972
S  0.261  0.747  0.528
S  0.276  0.295  0.519
S  0.295  0.276  0.019
S  0.705  0.724  0.981
S  0.724  0.705  0.481
S  0.739  0.253  0.472
S  0.747  0.261  0.028

Output
The value obtained for the density of states at the Fermi level is 0.161 states/eV per cell. The uncorrected formation energy is -1.144 eV per atom. The magnetic moment is 0.00 μB/atom. The electronic total energy is -4.375 eV per atom.

3.
K2PrTmS4: relaxed, PBE-GGA.

Unit cell a=7.132 b=4.114 c=7.759 alpha=90.00 beta=107.81 gamma=90.00
Element x y z (fractional)
K  0.000  0.000  0.000
K  0.500  0.500  0.000
Pr  0.000  0.500  0.500
Tm  0.500  0.000  0.500
S  0.248  0.000  0.706
S  0.278  0.500  0.299
S  0.722  0.500  0.701
S  0.752  0.000  0.294

Output
The value obtained for the density of states at the Fermi level is 0.000 states/eV per cell. The uncorrected formation energy is -1.854 eV per atom. The magnetic moment is 0.00 μB/atom. The electronic total energy is -5.348 eV per atom.

4.
KPrTm4S8: relaxed, PBE-GGA.

Unit cell a=8.288 b=8.288 c=8.288 alpha=58.60 beta=58.60 gamma=58.60
Element x y z (fractional)
K  0.000  0.000  0.000
Pr  0.365  0.365  0.365
Tm  0.365  0.365  0.883
Tm  0.365  0.883  0.365
Tm  0.744  0.744  0.744
Tm  0.883  0.365  0.365
S  0.127  0.127  0.573
S  0.127  0.573  0.127
S  0.137  0.619  0.619
S  0.138  0.138  0.138
S  0.573  0.127  0.127
S  0.613  0.613  0.613
S  0.619  0.137  0.619
S  0.619  0.619  0.137

Output
The value obtained for the density of states at the Fermi level is 0.000 states/eV per cell. The uncorrected formation energy is -1.910 eV per atom. The magnetic moment is 0.00 μB/atom. The electronic total energy is -5.966 eV per atom.

What did the second record say?
K2PrTlS4: relaxed, PBE-GGA.

Unit cell a=8.518 b=8.518 c=8.400 alpha=118.61 beta=118.61 gamma=92.12
Element x y z (fractional)
K  0.000  0.000  0.000
K  0.000  0.000  0.500
K  0.000  0.500  0.000
K  0.500  0.000  0.500
Pr  0.000  0.500  0.500
Pr  0.500  0.000  0.000
Tl  0.500  0.500  0.000
Tl  0.500  0.500  0.500
S  0.253  0.739  0.972
S  0.261  0.747  0.528
S  0.276  0.295  0.519
S  0.295  0.276  0.019
S  0.705  0.724  0.981
S  0.724  0.705  0.481
S  0.739  0.253  0.472
S  0.747  0.261  0.028

Output
The value obtained for the density of states at the Fermi level is 0.161 states/eV per cell. The uncorrected formation energy is -1.144 eV per atom. The magnetic moment is 0.00 μB/atom. The electronic total energy is -4.375 eV per atom.